{
  "formula": "Dy6Er8Tm",
  "functional": "PBE",
  "state": "optimized geometry",
  "energy_ev_per_fu": -65.89,
  "dos_ef_per_ev_cell": 24.954,
  "volume_a3_per_cell": 469.69,
  "spacegroup": "P-3 (147)",
  "ef_kcal_per_mol_atoms": 4.15,
  "cell": [[9.731, 0.000, 0.000], [-4.865, 8.427, 0.000], [0.000, 0.000, 5.728]],
  "species": ["Dy", "Dy", "Dy", "Dy", "Dy", "Dy", "Er", "Er", "Er", "Er", "Er", "Er", "Er", "Er", "Tm"],
  "frac_coords": [[0.052, 0.275, 0.275], [0.224, 0.948, 0.275], [0.275, 0.224, 0.725], [0.725, 0.776, 0.275], [0.776, 0.052, 0.725], [0.948, 0.725, 0.725], [0.092, 0.470, 0.762], [0.333, 0.667, 0.271], [0.378, 0.908, 0.762], [0.470, 0.378, 0.238], [0.530, 0.622, 0.762], [0.622, 0.092, 0.238], [0.667, 0.333, 0.729], [0.908, 0.530, 0.238], [0.000, 0.000, 0.000]]
}